[1]
VASP calculation (PBE) on a relaxed structure of Hf2Be9V.

Cell: 4.5725 4.5725 7.6420 Å, 72.59 72.59 60.00°
Closest atoms and distances in Å follow each position.
Fractional positions:
1 V 0.0000 0.0000 0.0000  18 Be 2.64-2.83
2 Hf 0.8621 0.8621 0.4136  12 Be 2.63-2.86, 3 Hf 2.92
3 Be 0.4218 0.9246 0.2318  7 Be 2.12-2.34
4 Be 0.3339 0.3339 0.9983  6 Be 2.12-2.13
5 Hf 0.1379 0.1379 0.5864  12 Be 2.63-2.86, 3 Hf 2.92
6 Be 0.5782 0.0754 0.7682  7 Be 2.12-2.34
7 Be 0.5000 0.5000 0.5000  6 Be 2.34
8 Be 0.9246 0.4218 0.2318  7 Be 2.12-2.34
9 Be 0.0754 0.5782 0.7682  7 Be 2.12-2.34
10 Be 0.6661 0.6661 0.0017  6 Be 2.12-2.13
11 Be 0.5782 0.5782 0.7682  7 Be 2.12-2.34
12 Be 0.4218 0.4218 0.2318  7 Be 2.12-2.34

Summary:
E_tot, eV per cell: -63.701
ΔH_f (0 K), eV/atom: -0.09

[2]
VASP calculation (PBE) on a relaxed structure of HgI2.

Cell: 4.4951 4.4951 6.9283 Å, 90.00 90.00 90.00°
Closest atoms and distances in Å follow each position.
Fractional positions:
1 I 0.5000 0.0000 0.7436  2 Hg 2.86
2 Hg 0.5000 0.5000 0.0000  4 I 2.86
3 I 0.0000 0.5000 0.2564  2 Hg 2.86

Summary:
E_tot, eV per cell: -4.278
Formation energy (no corrections), eV per atom: -0.292